[1]
## K2LiAg (PBEsol)

Data for crystalline K2LiAg at its relaxed geometry.

Cell lengths 5.882, 5.882, 5.882 Å; angles 120.61, 120.61, 88.94 degrees
Fractional positions:
K: 0.250 0.750 0.500
K: 0.750 0.250 0.500
Li: 0.000 0.000 0.000
Ag: 0.500 0.500 0.000

formation energy = 5.03 kcal/mol of atoms
calculated density = 2.248 g/cm³
DFT total energy = -1.668 eV/atom
space-group type = No. 139

***

[2]
## CuSe2BrO (PBEsol)

Data for crystalline CuSe2BrO at its relaxed geometry.

Cell lengths 4.659, 4.659, 4.837 Å; angles 90.00, 90.00, 90.00 degrees
Fractional positions:
Cu: 0.000 0.000 0.000
Se: 0.000 0.500 0.000
Se: 0.500 0.000 0.000
Br: 0.000 0.000 0.500
O: 0.500 0.500 0.500

calculated density = 5.020 g/cm³
formation energy (no corrections) = 0.905 eV per atom
ΔE to the lowest computed polymorph = 455 meV per atom
DFT total energy = -2.926 eV/atom
space-group type = No. 123

***

[3]
## CaRu2 (PBEsol)

Data for crystalline CaRu2 at its relaxed geometry.

Cell lengths 2.859, 2.859, 6.973 Å; angles 90.00, 90.00, 120.00 degrees
Fractional positions:
Ca: 0.000 0.000 0.000
Ru: 0.333 0.667 0.360
Ru: 0.667 0.333 0.640

formation energy = 15.72 kcal/mol of atoms
calculated density = 8.151 g/cm³
DFT total energy = -6.811 eV/atom
space-group type = No. 164